VASP calculation (PBE-GGA) on NaScBr2 after structural relaxation.

Calculated values
E above lowest polymorph   0.000 eV/f.u.
Formation energy (no corrections)   -25.14 kcal/mol of atoms

a b c (Å): 10.4909 10.4909 10.4909
angles (deg): 20.45 20.45 20.45
Fractional positions:
Br1 0.8888 0.8888 0.8888
Na1 0.0000 0.0000 0.0000
Br2 0.1112 0.1112 0.1112
Sc1 0.5000 0.5000 0.5000

VASP calculation (PBE-GGA) on BaCaCdCl6 after structural relaxation.

Calculated values
Formation energy (no corrections)   -45.96 kcal/mol of atoms

a b c (Å): 6.9972 6.9972 13.4156
angles (deg): 90.00 90.00 120.00
Fractional positions:
Cl1 0.0087 0.6418 0.3641
Cl2 0.9913 0.6331 0.8641
Cl3 0.0087 0.3669 0.1359
Cl4 0.6418 0.0087 0.8641
Ba1 0.0000 0.0000 0.0000
Ca1 0.6667 0.3333 0.2500
Cd1 0.6667 0.3333 0.7500
Cd2 0.3333 0.6667 0.2500
Cl5 0.6418 0.6331 0.6359
Cl6 0.6331 0.9913 0.3641
Cl7 0.3669 0.3582 0.8641
Cl8 0.3582 0.9913 0.1359
Cl9 0.6331 0.6418 0.1359
Ca2 0.3333 0.6667 0.7500
Cl10 0.3582 0.3669 0.3641
Ba2 0.0000 0.0000 0.5000
Cl11 0.9913 0.3582 0.6359
Cl12 0.3669 0.0087 0.6359

VASP calculation (PBE-GGA) on InRuPt3 after structural relaxation.

Calculated values
E above lowest polymorph   0.000 eV/f.u.
ΔE_f   997 meV per atom

a b c (Å): 4.8311 4.8311 4.8311
angles (deg): 90.00 90.00 90.00
Fractional positions:
Ru1 0.0000 0.0000 0.0000
Pt1 0.5000 0.0000 0.0000
In1 0.5000 0.5000 0.5000
Pt2 0.0000 0.5000 0.0000
Pt3 0.0000 0.0000 0.5000

VASP calculation (PBE-GGA) on Pr4Hg2O after structural relaxation.

Calculated values
E above lowest polymorph   0.129 eV/f.u.
Formation energy (no corrections)   -23.12 kcal/mol of atoms

a b c (Å): 7.2800 7.2389 8.2867
angles (deg): 90.00 106.04 90.00
Fractional positions:
Pr1 0.5027 0.4937 0.7447
Pr2 0.4973 0.5063 0.2553
Hg1 0.7511 0.7500 0.5716
Pr3 0.0844 0.7500 0.3820
Hg2 0.2489 0.2500 0.4284
Hg3 0.7344 0.7500 0.0491
Pr4 0.4973 0.9937 0.2553
Pr5 0.9156 0.2500 0.6180
O1 0.2716 0.7500 0.1950
Pr6 0.8945 0.2500 0.0861
Pr7 0.5027 0.0063 0.7447
Hg4 0.2656 0.2500 0.9509
Pr8 0.1055 0.7500 0.9139
O2 0.7284 0.2500 0.8050

VASP calculation (PBE-GGA) on CoNiBr2 after structural relaxation.

Calculated values
E above lowest polymorph   2.385 eV/f.u.
Formation energy (no corrections)   14.98 kcal/mol of atoms

a b c (Å): 4.6102 4.6102 3.2553
angles (deg): 90.00 90.00 90.00
Fractional positions:
Ni1 0.0000 0.5000 0.5000
Br1 0.5000 0.5000 0.0000
Br2 0.0000 0.0000 0.0000
Co1 0.5000 0.0000 0.5000

VASP calculation (PBE-GGA) on CoPOs2 after structural relaxation.

Calculated values
ΔE_f   60 meV per atom

a b c (Å): 4.9097 4.9097 4.9097
angles (deg): 146.04 129.92 61.90
Fractional positions:
Co1 0.2893 0.7893 0.5000
Os1 0.7209 0.2209 0.5000
P1 0.4898 0.4898 0.0000
Os2 0.0000 0.0000 0.0000

What are the E_tot values for these records? In order: -15.4, -33.9, -25.2, -31.7, -13.6, -34.7 eV per formula unit.